## i
Computed, not measured: a geometry-optimized BaPPtO structure at the PBE-GGA level of DFT.

POSCAR file:
```
BaPPtO
1.0
4.034 0.000 0.000
0.000 5.208 0.000
0.000 0.000 7.839
Ba O P Pt
2 2 2 2
direct
0.500 0.833 0.106 Ba
0.500 0.167 0.606 Ba
0.500 0.726 0.434 O
0.500 0.274 0.934 O
0.000 0.306 0.255 P
0.000 0.694 0.755 P
0.000 0.633 0.458 Pt
0.000 0.367 0.958 Pt
```

The space-group type is No. 26.

## ii
Computed, not measured: a geometry-optimized BaPPtO structure at the PBE-GGA level of DFT.

POSCAR file:
```
BaPPtO
1.0
-2.212 3.954 -5.182
4.598 -2.933 -4.200
-2.988 -3.112 -1.099
Ba O P Pt
2 2 2 2
direct
0.000 0.000 0.500 Ba
0.500 0.500 0.500 Ba
0.000 0.000 0.000 O
0.500 0.500 0.000 O
0.000 0.500 0.001 P
0.500 0.000 0.999 P
0.500 0.000 0.499 Pt
0.000 0.500 0.501 Pt
```

The space-group type is No. 123.

The structure with the greatest stability is i.

## i
Computed, not measured: a geometry-optimized BaTaPO structure at the PBE-GGA level of DFT.

POSCAR file:
```
BaTaPO
1.0
4.380 0.000 0.000
0.000 4.380 0.000
0.000 0.000 9.516
Ba O P Ta
2 2 2 2
direct
0.500 0.000 0.500 Ba
0.000 0.500 0.500 Ba
0.500 0.000 0.000 O
0.000 0.500 0.000 O
0.500 0.500 0.262 P
0.000 0.000 0.738 P
0.500 0.500 0.022 Ta
0.000 0.000 0.978 Ta
```

The space-group type is No. 129.

## ii
Computed, not measured: a geometry-optimized BaTaPO structure at the PBE-GGA level of DFT.

POSCAR file:
```
BaTaPO
1.0
-2.941 -2.482 1.844
2.499 -5.714 -3.705
4.079 -1.300 4.756
Ba O P Ta
2 2 2 2
direct
0.000 0.699 0.461 Ba
0.000 0.301 0.961 Ba
0.500 0.884 0.325 O
0.500 0.116 0.825 O
0.000 0.254 0.453 P
0.000 0.746 0.953 P
0.500 0.900 0.015 Ta
0.500 0.100 0.515 Ta
```

The space-group type is No. 26.

## iii
Computed, not measured: a geometry-optimized BaTaPO structure at the PBE-GGA level of DFT.

POSCAR file:
```
BaTaPO
1.0
-3.035 1.759 -1.703
0.019 -4.711 -4.900
-4.320 -3.869 3.703
Ba O P Ta
2 2 2 2
direct
0.000 0.285 0.011 Ba
0.000 0.715 0.511 Ba
0.000 0.312 0.492 O
0.000 0.688 0.992 O
0.500 0.994 0.254 P
0.500 0.006 0.754 P
0.500 0.240 0.498 Ta
0.500 0.760 0.998 Ta
```

The space-group type is No. 26.

## iv
Computed, not measured: a geometry-optimized BaTaPO structure at the PBE-GGA level of DFT.

POSCAR file:
```
BaTaPO
1.0
4.258 0.000 0.000
0.000 4.258 0.000
0.000 0.000 10.396
Ba O P Ta
2 2 2 2
direct
0.000 0.500 0.127 Ba
0.500 0.000 0.873 Ba
0.000 0.000 0.000 O
0.500 0.500 0.000 O
0.500 0.000 0.373 P
0.000 0.500 0.627 P
0.000 0.000 0.500 Ta
0.500 0.500 0.500 Ta
```

The space-group type is No. 129.

The structure with the greatest stability is iii.

## i
Computed, not measured: a geometry-optimized BaZn2P2O8 structure at the PBE-GGA level of DFT.

POSCAR file:
```
BaZn2P2O8
1.0
2.426 1.401 7.593
-2.426 1.401 7.593
0.000 -2.802 7.593
Ba O P Zn
1 8 2 2
direct
0.000 0.000 0.000 Ba
0.758 0.432 0.147 O
0.568 0.853 0.242 O
0.356 0.356 0.356 O
0.147 0.758 0.432 O
0.853 0.242 0.568 O
0.644 0.644 0.644 O
0.432 0.147 0.758 O
0.242 0.568 0.853 O
0.423 0.423 0.423 P
0.577 0.577 0.577 P
0.172 0.172 0.172 Zn
0.828 0.828 0.828 Zn
```

The space-group type is No. 148.

## ii
Computed, not measured: a geometry-optimized BaZn2P2O8 structure at the PBE-GGA level of DFT.

POSCAR file:
```
BaZn2P2O8
1.0
-0.034 -2.577 -8.165
-7.737 -5.652 1.816
-5.500 6.916 -1.909
Ba O P Zn
4 32 8 8
direct
0.746 0.584 0.109 Ba
0.254 0.084 0.391 Ba
0.746 0.916 0.609 Ba
0.254 0.416 0.891 Ba
0.200 0.849 0.002 O
0.914 0.809 0.041 O
0.556 0.805 0.118 O
0.941 0.356 0.119 O
0.548 0.368 0.126 O
0.275 0.424 0.189 O
0.491 0.051 0.190 O
0.000 0.115 0.208 O
0.000 0.615 0.292 O
0.509 0.551 0.310 O
0.725 0.924 0.311 O
0.452 0.868 0.374 O
0.059 0.856 0.381 O
0.444 0.305 0.382 O
0.086 0.309 0.459 O
0.800 0.349 0.498 O
0.200 0.651 0.502 O
0.914 0.691 0.541 O
0.556 0.695 0.618 O
0.941 0.144 0.619 O
0.548 0.132 0.626 O
0.275 0.076 0.689 O
0.491 0.449 0.690 O
0.000 0.385 0.708 O
0.000 0.885 0.792 O
0.509 0.949 0.810 O
0.725 0.576 0.811 O
0.452 0.632 0.874 O
0.059 0.644 0.881 O
0.444 0.195 0.882 O
0.086 0.191 0.959 O
0.800 0.151 0.998 O
0.952 0.204 0.071 P
0.557 0.911 0.244 P
0.443 0.411 0.256 P
0.048 0.704 0.429 P
0.952 0.296 0.571 P
0.557 0.589 0.744 P
0.443 0.089 0.756 P
0.048 0.796 0.929 P
0.587 0.181 0.056 Zn
0.926 0.926 0.212 Zn
0.074 0.426 0.288 Zn
0.413 0.681 0.444 Zn
0.587 0.319 0.556 Zn
0.926 0.574 0.712 Zn
0.074 0.074 0.788 Zn
0.413 0.819 0.944 Zn
```

The space-group type is No. 14.

The structure with the greatest stability is ii.

## i
Computed, not measured: a geometry-optimized BaZrPO structure at the PBE-GGA level of DFT.

POSCAR file:
```
BaZrPO
1.0
4.607 0.000 0.000
0.000 4.607 0.000
0.000 0.000 10.012
Ba O P Zr
2 2 2 2
direct
0.000 0.500 0.112 Ba
0.500 0.000 0.888 Ba
0.000 0.000 0.000 O
0.500 0.500 0.000 O
0.500 0.000 0.383 P
0.000 0.500 0.617 P
0.000 0.000 0.500 Zr
0.500 0.500 0.500 Zr
```

The space-group type is No. 129.

## ii
Computed, not measured: a geometry-optimized BaZrPO structure at the PBE-GGA level of DFT.

POSCAR file:
```
BaZrPO
1.0
-2.583 0.981 3.634
-0.836 -4.446 0.606
7.579 -0.667 5.567
Ba O P Zr
2 2 2 2
direct
0.750 0.250 0.500 Ba
0.250 0.750 0.500 Ba
0.750 0.250 0.000 O
0.250 0.750 0.000 O
0.750 0.750 0.275 P
0.250 0.250 0.725 P
0.750 0.750 0.019 Zr
0.250 0.250 0.981 Zr
```

The space-group type is No. 129.

## iii
Computed, not measured: a geometry-optimized BaZrPO structure at the PBE-GGA level of DFT.

POSCAR file:
```
BaZrPO
1.0
4.399 0.000 0.000
0.000 7.514 0.000
0.000 0.000 6.457
Ba O P Zr
2 2 2 2
direct
0.000 0.701 0.452 Ba
0.000 0.299 0.952 Ba
0.500 0.885 0.339 O
0.500 0.115 0.839 O
0.000 0.274 0.447 P
0.000 0.726 0.947 P
0.500 0.888 0.016 Zr
0.500 0.112 0.516 Zr
```

The space-group type is No. 26.

The structure with the greatest stability is iii.

## i
Computed, not measured: a geometry-optimized BaPtSO structure at the PBE-GGA level of DFT.

POSCAR file:
```
BaPtSO
1.0
-6.487 2.657 2.892
-2.959 -8.075 0.781
4.023 -0.552 9.533
Ba O Pt S
8 8 8 8
direct
0.767 0.119 0.034 Ba
0.733 0.619 0.034 Ba
0.267 0.119 0.466 Ba
0.233 0.619 0.466 Ba
0.767 0.381 0.534 Ba
0.733 0.881 0.534 Ba
0.267 0.381 0.966 Ba
0.233 0.881 0.966 Ba
0.745 0.369 0.165 O
0.755 0.869 0.165 O
0.245 0.369 0.335 O
0.255 0.869 0.335 O
0.745 0.131 0.665 O
0.755 0.631 0.665 O
0.245 0.131 0.835 O
0.255 0.631 0.835 O
0.997 0.371 0.249 Pt
0.503 0.871 0.249 Pt
0.497 0.371 0.251 Pt
0.003 0.871 0.251 Pt
0.997 0.129 0.749 Pt
0.503 0.629 0.749 Pt
0.497 0.129 0.751 Pt
0.003 0.629 0.751 Pt
0.415 0.121 0.171 S
0.085 0.621 0.171 S
0.915 0.121 0.329 S
0.585 0.621 0.329 S
0.415 0.379 0.671 S
0.085 0.879 0.671 S
0.915 0.379 0.829 S
0.585 0.879 0.829 S
```

The space-group type is No. 61.

## ii
Computed, not measured: a geometry-optimized BaPtSO structure at the PBE-GGA level of DFT.

POSCAR file:
```
BaPtSO
1.0
6.251 0.000 0.000
0.000 6.251 0.000
0.000 0.000 7.116
Ba O Pt S
2 2 2 2
direct
0.750 0.250 0.000 Ba
0.250 0.750 0.000 Ba
0.750 0.750 0.473 O
0.250 0.250 0.527 O
0.750 0.750 0.217 Pt
0.250 0.250 0.783 Pt
0.250 0.250 0.099 S
0.750 0.750 0.901 S
```

The space-group type is No. 129.

The structure with the greatest stability is i.

## i
Computed, not measured: a geometry-optimized BaTb2O4 structure at the PBE-GGA level of DFT.

POSCAR file:
```
BaTb2O4
1.0
5.002 -5.003 0.000
-5.002 0.000 -5.003
5.002 5.003 0.000
Ba O Tb
2 8 4
direct
0.000 0.000 0.000 Ba
0.750 0.500 0.250 Ba
0.604 0.209 0.395 O
0.186 0.791 0.395 O
0.605 0.791 0.396 O
0.145 0.291 0.436 O
0.605 0.209 0.814 O
0.145 0.709 0.854 O
0.146 0.291 0.855 O
0.564 0.709 0.855 O
0.375 0.750 0.125 Tb
0.875 0.250 0.625 Tb
0.375 0.250 0.625 Tb
0.375 0.750 0.625 Tb
```

The space-group type is No. 227.

## ii
Computed, not measured: a geometry-optimized BaTb2O4 structure at the PBE-GGA level of DFT.

POSCAR file:
```
BaTb2O4
1.0
-0.331 0.346 -10.418
-3.476 -0.094 0.107
-0.315 12.165 0.414
Ba O Tb
4 16 8
direct
0.746 0.750 0.150 Ba
0.246 0.750 0.350 Ba
0.754 0.250 0.650 Ba
0.254 0.250 0.850 Ba
0.617 0.250 0.018 O
0.929 0.250 0.074 O
0.209 0.250 0.162 O
0.480 0.750 0.217 O
0.980 0.750 0.283 O
0.709 0.250 0.338 O
0.429 0.250 0.426 O
0.117 0.250 0.482 O
0.883 0.750 0.518 O
0.571 0.750 0.574 O
0.291 0.750 0.662 O
0.020 0.250 0.717 O
0.520 0.250 0.783 O
0.791 0.750 0.838 O
0.071 0.750 0.926 O
0.383 0.750 0.982 O
0.421 0.250 0.109 Tb
0.074 0.750 0.111 Tb
0.574 0.750 0.389 Tb
0.921 0.250 0.391 Tb
0.079 0.750 0.609 Tb
0.426 0.250 0.611 Tb
0.926 0.250 0.889 Tb
0.579 0.750 0.891 Tb
```

The space-group type is No. 62.

The structure with the greatest stability is ii.

## i
Computed, not measured: a geometry-optimized BaTm2O4 structure at the PBE-GGA level of DFT.

POSCAR file:
```
BaTm2O4
1.0
-8.352 0.323 -6.003
1.165 -2.665 -1.764
-5.654 -7.414 7.467
Ba O Tm
4 16 8
direct
0.253 0.250 0.150 Ba
0.753 0.250 0.350 Ba
0.247 0.750 0.650 Ba
0.747 0.750 0.850 Ba
0.386 0.750 0.017 O
0.069 0.750 0.074 O
0.790 0.750 0.156 O
0.519 0.250 0.218 O
0.019 0.250 0.282 O
0.290 0.750 0.344 O
0.569 0.750 0.426 O
0.886 0.750 0.483 O
0.114 0.250 0.517 O
0.431 0.250 0.574 O
0.710 0.250 0.656 O
0.981 0.750 0.718 O
0.481 0.750 0.782 O
0.210 0.250 0.844 O
0.931 0.250 0.926 O
0.614 0.250 0.983 O
0.578 0.750 0.108 Tm
0.927 0.250 0.110 Tm
0.427 0.250 0.390 Tm
0.078 0.750 0.392 Tm
0.922 0.250 0.608 Tm
0.573 0.750 0.610 Tm
0.073 0.750 0.890 Tm
0.422 0.250 0.892 Tm
```

The space-group type is No. 62.

## ii
Computed, not measured: a geometry-optimized BaTm2O4 structure at the PBE-GGA level of DFT.

POSCAR file:
```
BaTm2O4
1.0
4.913 -4.914 0.000
-4.913 0.000 -4.914
4.913 4.914 0.000
Ba O Tm
2 8 4
direct
0.000 0.000 0.000 Ba
0.750 0.500 0.250 Ba
0.190 0.793 0.397 O
0.603 0.207 0.397 O
0.603 0.793 0.397 O
0.147 0.293 0.440 O
0.603 0.207 0.810 O
0.147 0.707 0.853 O
0.147 0.293 0.853 O
0.560 0.707 0.853 O
0.375 0.750 0.125 Tm
0.375 0.750 0.625 Tm
0.375 0.250 0.625 Tm
0.875 0.250 0.625 Tm
```

The space-group type is No. 227.

The structure with the greatest stability is i.